1.
# PmCoNiAs2, relaxed, DFT GGA-PBE
data_PmCoNiAs2
_space_group_name_H-M_alt 'I -4 m 2'
_space_group_IT_number 119
_space_group_name_Hall 'I -4 -2'
_cell_length_a 4.060
_cell_length_b 4.060
_cell_length_c 10.117
_cell_angle_alpha 90.00
_cell_angle_beta 90.00
_cell_angle_gamma 90.00
loop_
_atom_site_label
_atom_site_type_symbol
_atom_site_fract_x
_atom_site_fract_y
_atom_site_fract_z
Pm1 Pm 0.000 0.000 0.000
Co1 Co 0.000 0.500 0.250
Ni1 Ni 0.000 0.500 0.750
As1 As 0.000 0.000 0.367
# Spin magnetization   0.6 μB per formula unit
# Calculated formation energy   -739.8 meV per atom

---

2.
# AcDyInN3, relaxed, DFT GGA-PBE
data_AcDyInN3
_space_group_name_H-M_alt 'P 1 21/m 1'
_space_group_IT_number 11
_space_group_name_Hall '-P 2yb'
_cell_length_a 6.966
_cell_length_b 3.504
_cell_length_c 9.453
_cell_angle_alpha 90.00
_cell_angle_beta 96.81
_cell_angle_gamma 90.00
loop_
_atom_site_label
_atom_site_type_symbol
_atom_site_fract_x
_atom_site_fract_y
_atom_site_fract_z
Ac1 Ac 0.193 0.250 0.241
Dy1 Dy 0.339 0.750 0.891
In1 In 0.159 0.250 0.597
N1 N 0.116 0.250 0.822
N2 N 0.191 0.750 0.463
N3 N 0.408 0.750 0.127
# Spin magnetization   0.0 μB per formula unit
# VASP energy   -6.80 eV/atom

---

3.
# ReN2, relaxed, DFT GGA-PBE
data_ReN2
_space_group_name_H-M_alt 'C m m m'
_space_group_IT_number 65
_space_group_name_Hall '-C 2 2'
_cell_length_a 5.721
_cell_length_b 7.735
_cell_length_c 2.834
_cell_angle_alpha 90.00
_cell_angle_beta 90.00
_cell_angle_gamma 90.00
loop_
_atom_site_label
_atom_site_type_symbol
_atom_site_fract_x
_atom_site_fract_y
_atom_site_fract_z
Re1 Re 0.250 0.250 0.000
N1 N 0.000 0.189 0.500
N2 N 0.114 0.500 0.000
# Spin magnetization   0.0 μB per formula unit
# VASP energy   -9.39 eV/atom

---

4.
# Ga2Hg2Sb, relaxed, DFT GGA-PBE
data_Ga2Hg2Sb
_space_group_name_H-M_alt 'I 4/m m m'
_space_group_IT_number 139
_space_group_name_Hall '-I 4 2'
_cell_length_a 4.181
_cell_length_b 4.181
_cell_length_c 14.239
_cell_angle_alpha 90.00
_cell_angle_beta 90.00
_cell_angle_gamma 90.00
loop_
_atom_site_label
_atom_site_type_symbol
_atom_site_fract_x
_atom_site_fract_y
_atom_site_fract_z
Ga1 Ga 0.000 0.000 0.093
Hg1 Hg 0.000 0.500 0.250
Sb1 Sb 0.000 0.000 0.500
# Spin magnetization   0.0 μB per formula unit
# VASP energy   -1.99 eV/atom

---

5.
# AsPb3, relaxed, DFT GGA-PBE
data_AsPb3
_space_group_name_H-M_alt 'P -6 m 2'
_space_group_IT_number 187
_space_group_name_Hall 'P -6 2'
_cell_length_a 3.4774
_cell_length_b 3.4774
_cell_length_c 10.9651
_cell_angle_alpha 90.00
_cell_angle_beta 90.00
_cell_angle_gamma 120.00
loop_
_atom_site_label
_atom_site_type_symbol
_atom_site_fract_x
_atom_site_fract_y
_atom_site_fract_z
As1 As 0.0000 0.0000 0.0000
Pb1 Pb 0.0000 0.0000 0.5000
Pb2 Pb 0.6667 0.3333 0.2236
# Spin magnetization   0.0 μB per formula unit
# Calculated formation energy   156.2 meV per atom

---

6.
# NaLiPd2Pb, relaxed, DFT GGA-PBE
data_NaLiPd2Pb
_space_group_name_H-M_alt 'P 4/m m m'
_space_group_IT_number 123
_space_group_name_Hall '-P 4 2'
_cell_length_a 5.160
_cell_length_b 5.160
_cell_length_c 5.538
_cell_angle_alpha 90.00
_cell_angle_beta 90.00
_cell_angle_gamma 90.00
loop_
_atom_site_label
_atom_site_type_symbol
_atom_site_fract_x
_atom_site_fract_y
_atom_site_fract_z
Na1 Na 0.000 0.000 0.000
Li1 Li 0.500 0.500 0.000
Pd1 Pd 0.000 0.500 0.500
Pb1 Pb 0.000 0.000 0.500
# Spin magnetization   0.0 μB per formula unit
# Calculated formation energy   344.0 meV per atom

---

Q: spin magnetization of number 1 (PmCoNiAs2)?
A: 0.6 μB per formula unit